# 1
Computed, not measured: crystalline La2LuHf at its relaxed geometry at the GGA-PBE level of DFT.

The size of the total moment comes out at 0.0 μB/cell. For the formation energy, the calculation gives 4.52 kcal/mol of atoms. Its relative energy among the computed polymorphs is 22 meV per atom. The space-group type is No. 123.

Cell and atoms, written as POSCAR:
```
La2LuHf
1.0
-1.016 2.664 2.875
2.074 -2.154 2.730
6.102 3.959 -1.512
Lu Hf La
1 1 2
Direct
0.500 0.500 0.500
0.500 0.500 0.000
0.000 0.000 0.770
0.000 0.000 0.230
```

=====

# 2
Computed, not measured: crystalline LaLu2Hf at its relaxed geometry at the GGA-PBE level of DFT.

The size of the total moment comes out at 0.0 μB/cell. For the formation energy, the calculation gives 4.51 kcal/mol of atoms. Its relative energy among the computed polymorphs is 41 meV per atom. The space-group type is No. 123.

Cell and atoms, written as POSCAR:
```
LaLu2Hf
1.0
-1.736 1.255 -3.292
2.148 -2.531 -2.098
-5.432 -5.308 0.841
Lu Hf La
2 1 1
Direct
0.000 0.000 0.788
0.000 0.000 0.212
0.500 0.500 0.000
0.500 0.500 0.500
```

=====

# 3
Computed, not measured: crystalline La2LuHf at its relaxed geometry at the GGA-PBE level of DFT.

The size of the total moment comes out at 0.0 μB/cell. For the formation energy, the calculation gives 4.01 kcal/mol of atoms. Its relative energy among the computed polymorphs is 0 meV per atom. The space-group type is No. 123.

Cell and atoms, written as POSCAR:
```
La2LuHf
1.0
-3.191 2.215 2.788
-3.545 -3.242 -1.482
1.204 -3.056 3.806
Lu Hf La
1 1 2
Direct
0.500 0.500 0.500
0.500 0.000 0.000
0.000 0.000 0.500
0.000 0.500 0.000
```

=====

# 4
Computed, not measured: crystalline LaLu2Hf at its relaxed geometry at the GGA-PBE level of DFT.

The size of the total moment comes out at 0.0 μB/cell. For the formation energy, the calculation gives 3.57 kcal/mol of atoms. Its relative energy among the computed polymorphs is 0 meV per atom. The space-group type is No. 123.

Cell and atoms, written as POSCAR:
```
LaLu2Hf
1.0
4.864 0.000 0.000
0.000 4.848 0.000
0.000 0.000 4.848
Lu Hf La
2 1 1
Direct
0.000 0.000 0.500
0.000 0.500 0.000
0.500 0.000 0.000
0.500 0.500 0.500
```

=====

# 5
Computed, not measured: crystalline LaLuHfSc at its relaxed geometry at the GGA-PBE level of DFT.

The size of the total moment comes out at 0.0 μB/cell. For the formation energy, the calculation gives 4.94 kcal/mol of atoms. The space-group type is No. 216.

Cell and atoms, written as POSCAR:
```
LaLuHfSc
1.0
5.370 0.000 0.000
2.685 4.651 0.000
2.685 1.550 4.385
Sc Lu Hf La
1 1 1 1
Direct
0.000 0.000 0.000
0.500 0.500 0.500
0.750 0.750 0.750
0.250 0.250 0.250
```

=====

# 6
Computed, not measured: crystalline La2Hf2Mg at its relaxed geometry at the GGA-PBE level of DFT.

The size of the total moment comes out at 0.0 μB/cell. For the formation energy, the calculation gives 18.03 kcal/mol of atoms. Its relative energy among the computed polymorphs is 453 meV per atom. The space-group type is No. 139.

Cell and atoms, written as POSCAR:
```
La2Hf2Mg
1.0
4.489 0.000 0.000
0.000 4.489 0.000
2.245 2.245 7.435
Mg Hf La
1 2 2
Direct
0.000 0.000 0.000
0.413 0.413 0.174
0.587 0.587 0.826
0.750 0.250 0.500
0.250 0.750 0.500
```